DFT (PBE) results for crystalline Er4Zn3 at its relaxed geometry.

Computed properties:
Calculated total energy   -23.463 eV for the cell shown
Density   8.4 Mg/m³
Total magnetization   0.0 μB/f.u.
Calculated formation energy   -198 meV/atom
SG   No. 166

a = 4.963 Å, b = 4.963 Å, c = 8.484 Å
α = 72.99°, β = 72.99°, γ = 60.00°
Atoms (fractional coordinates):
Zn 0.252 0.252 0.243
Zn 0.000 0.000 0.000
Er 0.873 0.873 0.382
Er 0.379 0.379 0.863
Zn 0.748 0.748 0.757
Er 0.127 0.127 0.618
Er 0.621 0.621 0.137